La2NdCdN: optimized geometry, PBE. Values from VASP.

```
&SYSTEM
  ibrav = 0, nat = 5, ntyp = 4
/
ATOMIC_SPECIES
La 138.91 La.upf
Nd 144.24 Nd.upf
Cd 112.41 Cd.upf
N 14.01 N.upf
CELL_PARAMETERS angstrom
5.1224 0.0000 0.0000
0.0000 5.1224 0.0000
0.0000 0.0000 5.0793
ATOMIC_POSITIONS angstrom
La 0.0000 2.5612 0.0000
La 2.5612 0.0000 0.0000
Nd 0.0000 0.0000 2.5397
Cd 2.5612 2.5612 2.5397
N 0.0000 0.0000 0.0000
```

Results
raw formation energy = -0.714 eV/atom



AcTbLu4: optimized geometry, PBE. Values from VASP.

```
&SYSTEM
  ibrav = 0, nat = 6, ntyp = 3
/
ATOMIC_SPECIES
Ac 227.00 Ac.upf
Tb 158.93 Tb.upf
Lu 174.97 Lu.upf
CELL_PARAMETERS angstrom
0.0000 4.7024 4.7024
4.7024 0.0000 4.7024
4.7024 4.7024 0.0000
ATOMIC_POSITIONS angstrom
Ac 0.0000 0.0000 0.0000
Tb 2.3512 2.3512 2.3512
Lu 5.8741 3.5308 3.5308
Lu 3.5308 5.8741 3.5308
Lu 3.5308 3.5308 5.8741
Lu 5.8741 5.8741 5.8741
```

Results
formation energy = 0.28 eV/atom